Entry 1:
VASP calculation (PBE) on crystalline PrMgNpO6 at its relaxed geometry.

Cell: 5.4350 5.4350 10.2535 Å, 90.00 90.00 120.00°
With the nearest neighbours (Å) after each atom.
Positions (direct):
Pr  0.0000  0.0000  0.0000  6 O 2.43
Pr  0.0000  0.0000  0.5000  6 O 2.43
Mg  0.3333  0.6667  0.2500  6 O 2.11
Mg  0.6667  0.3333  0.7500  6 O 2.11
Np  0.6667  0.3333  0.2500  6 O 2.03
Np  0.3333  0.6667  0.7500  6 O 2.03
O  0.6470  0.6351  0.1417  1 Np 2.03, 1 Mg 2.11
O  0.9881  0.3530  0.1417  1 Np 2.03, 1 Mg 2.11
O  0.3530  0.9881  0.6417  1 Np 2.03, 1 Mg 2.11
O  0.0119  0.6470  0.8583  1 Np 2.03, 1 Mg 2.11
O  0.3649  0.3530  0.3583  1 Np 2.03, 1 Mg 2.11
O  0.9881  0.6351  0.3583  1 Np 2.03, 1 Mg 2.11
O  0.6351  0.9881  0.8583  1 Np 2.03, 1 Mg 2.11
O  0.6470  0.0119  0.3583  1 Np 2.03, 1 Mg 2.11
O  0.0119  0.3649  0.6417  1 Np 2.03, 1 Mg 2.11
O  0.3649  0.0119  0.1417  1 Np 2.03, 1 Mg 2.11
O  0.6351  0.6470  0.6417  1 Np 2.03, 1 Mg 2.11
O  0.3530  0.3649  0.8583  1 Np 2.03, 1 Mg 2.11

Computed properties:
- formation energy (no corrections) (kJ per mole of atoms) = -275
- crystal system = trigonal
- size of the total moment (μB/atom) = 0.000
- calculated total energy (Ry per atom) = -0.6098

---

Entry 2:
VASP calculation (PBE) on crystalline Pr2MgNpO6 at its relaxed geometry.

Cell: 5.7257 5.9465 8.3844 Å, 90.00 88.90 90.00°
With the nearest neighbours (Å) after each atom.
Positions (direct):
Pr  0.0199  0.9446  0.2518  4 O 2.36-2.48
Pr  0.5199  0.5554  0.7518  4 O 2.36-2.48
Pr  0.9801  0.0554  0.7482  4 O 2.36-2.48
Pr  0.4801  0.4446  0.2482  4 O 2.36-2.48
Mg  0.5000  0.0000  0.0000  6 O 2.12-2.21
Mg  0.0000  0.5000  0.5000  6 O 2.12-2.21
Np  0.5000  0.0000  0.5000  6 O 2.20-2.25
Np  0.0000  0.5000  0.0000  6 O 2.20-2.25
O  0.3060  0.7034  0.0637  1 Mg 2.15, 1 Np 2.20
O  0.8060  0.7966  0.5637  1 Mg 2.15, 1 Np 2.20
O  0.6940  0.2966  0.9363  1 Mg 2.15, 1 Np 2.20
O  0.1940  0.2034  0.4363  1 Mg 2.15, 1 Np 2.20
O  0.2939  0.6970  0.4337  1 Mg 2.12, 1 Np 2.23
O  0.7939  0.8030  0.9337  1 Mg 2.12, 1 Np 2.23
O  0.7061  0.3030  0.5663  1 Mg 2.12, 1 Np 2.23
O  0.2061  0.1970  0.0663  1 Mg 2.12, 1 Np 2.23
O  0.8778  0.5504  0.2543  1 Mg 2.21, 1 Np 2.25, 1 Pr 2.36
O  0.3778  0.9496  0.7543  1 Mg 2.21, 1 Np 2.25, 1 Pr 2.36
O  0.1222  0.4496  0.7457  1 Mg 2.21, 1 Np 2.25, 1 Pr 2.36
O  0.6222  0.0504  0.2457  1 Mg 2.21, 1 Np 2.25, 1 Pr 2.36

Computed properties:
- formation energy (no corrections) (kJ per mole of atoms) = -294
- Fermi-level density of states (states/eV per atom) = 1.006
- crystal system = monoclinic
- size of the total moment (μB/atom) = 0.300
- calculated total energy (Ry per atom) = -0.6194

---

Entry 3:
VASP calculation (PBE) on crystalline Mg2NpPtO8 at its relaxed geometry.

Cell: 4.7958 4.7932 6.3026 Å, 90.00 90.00 92.99°
With the nearest neighbours (Å) after each atom.
Positions (direct):
Mg  0.5000  0.5000  0.7399  6 O 2.03-2.14
Mg  0.5000  0.5000  0.2601  6 O 2.03-2.14
Np  0.0000  0.0000  0.0000  6 O 1.95-2.09
Pt  0.0000  0.0000  0.5000  6 O 1.94-2.05
O  0.1926  0.8068  0.2549  1 Pt 2.05, 1 Np 2.09, 1 Mg 2.14
O  0.7041  0.7046  0.0000  1 Np 1.95, 2 Mg 2.12
O  0.8074  0.1932  0.2549  1 Pt 2.05, 1 Np 2.09, 1 Mg 2.14
O  0.8074  0.1932  0.7451  1 Pt 2.05, 1 Np 2.09, 1 Mg 2.14
O  0.2959  0.2954  0.0000  1 Np 1.95, 2 Mg 2.12
O  0.1926  0.8068  0.7451  1 Pt 2.05, 1 Np 2.09, 1 Mg 2.14
O  0.7056  0.7061  0.5000  1 Pt 1.94, 2 Mg 2.03
O  0.2944  0.2939  0.5000  1 Pt 1.94, 2 Mg 2.03

Computed properties:
- formation energy (no corrections) (kJ per mole of atoms) = -185
- Fermi-level density of states (states/eV per atom) = 0.316
- crystal system = orthorhombic
- size of the total moment (μB/atom) = 0.113
- calculated total energy (Ry per atom) = -0.5197

---

Entry 4:
VASP calculation (PBE) on crystalline MgNpPtO6 at its relaxed geometry.

Cell: 5.2316 5.2316 9.3965 Å, 90.00 90.00 120.00°
With the nearest neighbours (Å) after each atom.
Positions (direct):
Mg  0.0000  0.0000  0.0000  6 O 2.15
Mg  0.0000  0.0000  0.5000  6 O 2.15
Np  0.6667  0.3333  0.2500  6 O 2.09
Np  0.3333  0.6667  0.7500  6 O 2.09
Pt  0.3333  0.6667  0.2500  6 O 2.04
Pt  0.6667  0.3333  0.7500  6 O 2.04
O  0.6584  0.6657  0.1299  1 Pt 2.04, 1 Np 2.09, 1 Mg 2.15
O  0.0073  0.3416  0.1299  1 Pt 2.04, 1 Np 2.09, 1 Mg 2.15
O  0.3416  0.0073  0.6299  1 Pt 2.04, 1 Np 2.09, 1 Mg 2.15
O  0.9927  0.6584  0.8701  1 Pt 2.04, 1 Np 2.09, 1 Mg 2.15
O  0.3343  0.3416  0.3701  1 Pt 2.04, 1 Np 2.09, 1 Mg 2.15
O  0.0073  0.6657  0.3701  1 Pt 2.04, 1 Np 2.09, 1 Mg 2.15
O  0.6657  0.0073  0.8701  1 Pt 2.04, 1 Np 2.09, 1 Mg 2.15
O  0.6584  0.9927  0.3701  1 Pt 2.04, 1 Np 2.09, 1 Mg 2.15
O  0.9927  0.3343  0.6299  1 Pt 2.04, 1 Np 2.09, 1 Mg 2.15
O  0.3343  0.9927  0.1299  1 Pt 2.04, 1 Np 2.09, 1 Mg 2.15
O  0.6657  0.6584  0.6299  1 Pt 2.04, 1 Np 2.09, 1 Mg 2.15
O  0.3416  0.3343  0.8701  1 Pt 2.04, 1 Np 2.09, 1 Mg 2.15

Computed properties:
- formation energy (no corrections) (kJ per mole of atoms) = -190
- crystal system = trigonal
- size of the total moment (μB/atom) = 0.111
- calculated total energy (Ry per atom) = -0.5559

---

Entry 5:
VASP calculation (PBE) on crystalline PuMgNpO6 at its relaxed geometry.

Cell: 5.3872 5.3872 9.6768 Å, 90.00 90.00 120.00°
With the nearest neighbours (Å) after each atom.
Positions (direct):
Pu  0.0000  0.0000  0.0000  6 O 2.24
Pu  0.0000  0.0000  0.5000  6 O 2.24
Mg  0.3333  0.6667  0.2500  6 O 2.12
Mg  0.6667  0.3333  0.7500  6 O 2.12
Np  0.6667  0.3333  0.2500  6 O 2.09
Np  0.3333  0.6667  0.7500  6 O 2.09
O  0.6633  0.6578  0.1340  1 Np 2.09, 1 Mg 2.12, 1 Pu 2.24
O  0.9945  0.3367  0.1340  1 Np 2.09, 1 Mg 2.12, 1 Pu 2.24
O  0.3367  0.9945  0.6340  1 Np 2.09, 1 Mg 2.12, 1 Pu 2.24
O  0.0055  0.6633  0.8660  1 Np 2.09, 1 Mg 2.12, 1 Pu 2.24
O  0.3422  0.3367  0.3660  1 Np 2.09, 1 Mg 2.12, 1 Pu 2.24
O  0.9945  0.6578  0.3660  1 Np 2.09, 1 Mg 2.12, 1 Pu 2.24
O  0.6578  0.9945  0.8660  1 Np 2.09, 1 Mg 2.12, 1 Pu 2.24
O  0.6633  0.0055  0.3660  1 Np 2.09, 1 Mg 2.12, 1 Pu 2.24
O  0.0055  0.3422  0.6340  1 Np 2.09, 1 Mg 2.12, 1 Pu 2.24
O  0.3422  0.0055  0.1340  1 Np 2.09, 1 Mg 2.12, 1 Pu 2.24
O  0.6578  0.6633  0.6340  1 Np 2.09, 1 Mg 2.12, 1 Pu 2.24
O  0.3367  0.3422  0.8660  1 Np 2.09, 1 Mg 2.12, 1 Pu 2.24

Computed properties:
- formation energy (no corrections) (kJ per mole of atoms) = -271
- Fermi-level density of states (states/eV per atom) = 0.944
- crystal system = trigonal
- size of the total moment (μB/atom) = 0.556
- calculated total energy (Ry per atom) = -0.6855

---

Entry 6:
VASP calculation (PBE) on crystalline Rb3MgNp2O9 at its relaxed geometry.

Cell: 6.0120 6.0120 7.3753 Å, 90.00 90.00 120.00°
With the nearest neighbours (Å) after each atom.
Positions (direct):
Rb  0.3333  0.6667  0.6596  12 O 2.97-3.05
Rb  0.0000  0.0000  0.0000  12 O 3.01
Rb  0.6667  0.3333  0.3404  12 O 2.97-3.05
Mg  0.0000  0.0000  0.5000  6 O 2.23
Np  0.3333  0.6667  0.1732  6 O 2.00-2.16
Np  0.6667  0.3333  0.8268  6 O 2.00-2.16
O  0.8256  0.1744  0.6754  1 Np 2.00, 1 Mg 2.23
O  0.8256  0.6511  0.6754  1 Np 2.00, 1 Mg 2.23
O  0.3489  0.1744  0.6754  1 Np 2.00, 1 Mg 2.23
O  0.6511  0.8256  0.3246  1 Np 2.00, 1 Mg 2.23
O  0.1744  0.3489  0.3246  1 Np 2.00, 1 Mg 2.23
O  0.1744  0.8256  0.3246  1 Np 2.00, 1 Mg 2.23
O  0.5000  0.0000  0.0000  2 Np 2.16
O  0.0000  0.5000  0.0000  2 Np 2.16
O  0.5000  0.5000  0.0000  2 Np 2.16

Computed properties:
- formation energy (no corrections) (kJ per mole of atoms) = -235
- Fermi-level density of states (states/eV per atom) = 0.454
- crystal system = trigonal
- size of the total moment (μB/atom) = 0.067
- calculated total energy (Ry per atom) = -0.5465

---

Entry 7:
VASP calculation (PBE) on crystalline Rb3Mg2NpO6 at its relaxed geometry.

Cell: 5.7584 5.7584 6.7446 Å, 98.08 98.08 120.12°
With the nearest neighbours (Å) after each atom.
Positions (direct):
Rb  0.1721  0.8279  0.5000  6 O 2.86-2.88
Rb  0.8279  0.1721  0.5000  6 O 2.86-2.88
Rb  0.5000  0.5000  0.5000  6 O 2.86-2.88
Mg  0.3333  0.6667  0.0000  6 O 2.22-2.24
Mg  0.6667  0.3333  0.0000  6 O 2.22-2.24
Np  0.0000  0.0000  0.0000  6 O 2.18
O  0.9425  0.6166  0.8299  1 Np 2.18, 2 Mg 2.22-2.23
O  0.7317  0.7317  0.1724  1 Np 2.18, 2 Mg 2.24
O  0.0575  0.3834  0.1701  1 Np 2.18, 2 Mg 2.22-2.23
O  0.6166  0.9425  0.8299  1 Np 2.18, 2 Mg 2.22-2.23
O  0.2683  0.2683  0.8276  1 Np 2.18, 2 Mg 2.24
O  0.3834  0.0575  0.1701  1 Np 2.18, 2 Mg 2.22-2.23

Computed properties:
- formation energy (no corrections) (kJ per mole of atoms) = -212
- Fermi-level density of states (states/eV per atom) = 0.651
- crystal system = monoclinic
- size of the total moment (μB/atom) = 0.167
- calculated total energy (Ry per atom) = -0.4600

---

Entry 8:
VASP calculation (PBE) on crystalline RbMgNpO6 at its relaxed geometry.

Cell: 5.4799 5.4801 6.2904 Å, 90.00 90.00 59.99°
With the nearest neighbours (Å) after each atom.
Positions (direct):
Rb  0.0000  0.0000  0.0000  6 O 2.92
Mg  0.6666  0.6667  0.5000  6 O 2.10
Np  0.3333  0.3333  0.5000  6 O 1.97
O  0.0186  0.3674  0.3273  1 Np 1.97, 1 Mg 2.10
O  0.3673  0.0186  0.6727  1 Np 1.97, 1 Mg 2.10
O  0.6140  0.3675  0.6728  1 Np 1.97, 1 Mg 2.10
O  0.0185  0.6141  0.6727  1 Np 1.97, 1 Mg 2.10
O  0.3674  0.6140  0.3272  1 Np 1.97, 1 Mg 2.10
O  0.6141  0.0185  0.3273  1 Np 1.97, 1 Mg 2.10

Computed properties:
- formation energy (no corrections) (kJ per mole of atoms) = -191
- Fermi-level density of states (states/eV per atom) = 0.364
- crystal system = trigonal
- size of the total moment (μB/atom) = 0.234
- calculated total energy (Ry per atom) = -0.5151